Entry from Alexandria: Sr2CaCu2Bi2O8 at its PBEsol-relaxed geometry (SCAN).

Values from the calculation:
Its energy above the lowest structure with this stoichiometry is 0 meV/atom. The calculated density is 6698 kg/m3. As for the crystal system: orthorhombic. The density of states at the Fermi level is 2.1 states/eV/f.u. The uncorrected formation energy is -1852.4 meV per atom.

Cell lengths 15.675, 15.675, 5.304 Å; angles 90.00, 90.00, 160.24 degrees
Fractional positions:
Sr1 0.105 0.390 0.000
Sr2 0.390 0.105 0.500
Sr3 0.610 0.895 0.500
Sr4 0.895 0.610 0.000
Ca1 0.000 0.500 0.001
Ca2 0.500 0.000 0.501
Cu1 0.049 0.451 0.501
Cu2 0.451 0.049 0.001
Cu3 0.549 0.951 0.001
Cu4 0.951 0.549 0.501
Bi1 0.215 0.315 0.528
Bi2 0.315 0.215 0.028
Bi3 0.685 0.785 0.028
Bi4 0.785 0.685 0.528
O1 0.112 0.344 0.497
O2 0.199 0.800 0.751
O3 0.200 0.801 0.251
O4 0.291 0.394 0.936
O5 0.301 0.698 0.250
O6 0.302 0.699 0.750
O7 0.344 0.112 0.997
O8 0.394 0.291 0.436
O9 0.606 0.709 0.436
O10 0.656 0.888 0.997
O11 0.698 0.301 0.750
O12 0.699 0.302 0.250
O13 0.709 0.606 0.936
O14 0.800 0.199 0.251
O15 0.801 0.200 0.751
O16 0.888 0.656 0.497

Entry from Alexandria: Sc2Ge2Pt at its PBEsol-relaxed geometry (SCAN).

Values from the calculation:
For the calculated total energy, the calculation gives -142.40 eV per formula unit. The calculated density is 8265 kg/m3. As for the crystal system: tetragonal. The density of states at the Fermi level is 1.9 states/eV/f.u.

Cell lengths 6.451, 6.451, 4.155 Å; angles 90.00, 90.00, 90.00 degrees
Fractional positions:
Sc1 0.170 0.330 0.000
Sc2 0.330 0.830 0.000
Sc3 0.670 0.170 0.000
Sc4 0.830 0.670 0.000
Ge1 0.138 0.638 0.500
Ge2 0.362 0.138 0.500
Ge3 0.638 0.862 0.500
Ge4 0.862 0.362 0.500
Pt1 0.000 0.000 0.500
Pt2 0.500 0.500 0.500

> Among the records above, which one has the lowest calculated density?

Sr2CaCu2Bi2O8

> Which formula does entry 2 have?

Sc2Ge2Pt

Please write out number 1 again, unchanged.
Entry from Alexandria: Sr2CaCu2Bi2O8 at its PBEsol-relaxed geometry (SCAN).

Values from the calculation:
Its energy above the lowest structure with this stoichiometry is 0 meV/atom. The calculated density is 6698 kg/m3. As for the crystal system: orthorhombic. The density of states at the Fermi level is 2.1 states/eV/f.u. The uncorrected formation energy is -1852.4 meV per atom.

Cell lengths 15.675, 15.675, 5.304 Å; angles 90.00, 90.00, 160.24 degrees
Fractional positions:
Sr1 0.105 0.390 0.000
Sr2 0.390 0.105 0.500
Sr3 0.610 0.895 0.500
Sr4 0.895 0.610 0.000
Ca1 0.000 0.500 0.001
Ca2 0.500 0.000 0.501
Cu1 0.049 0.451 0.501
Cu2 0.451 0.049 0.001
Cu3 0.549 0.951 0.001
Cu4 0.951 0.549 0.501
Bi1 0.215 0.315 0.528
Bi2 0.315 0.215 0.028
Bi3 0.685 0.785 0.028
Bi4 0.785 0.685 0.528
O1 0.112 0.344 0.497
O2 0.199 0.800 0.751
O3 0.200 0.801 0.251
O4 0.291 0.394 0.936
O5 0.301 0.698 0.250
O6 0.302 0.699 0.750
O7 0.344 0.112 0.997
O8 0.394 0.291 0.436
O9 0.606 0.709 0.436
O10 0.656 0.888 0.997
O11 0.698 0.301 0.750
O12 0.699 0.302 0.250
O13 0.709 0.606 0.936
O14 0.800 0.199 0.251
O15 0.801 0.200 0.751
O16 0.888 0.656 0.497